Model one:
A relaxed HfMg6CrO8 crystal. Source: the Alexandria database, functional PBE+U.

Unit cell a=4.316 b=4.316 c=9.001 alpha=90.00 beta=90.00 gamma=90.00
Space group P4/mmm (No. 123)
Unique sites:
Hf 0.000 0.000 0.000 [1 per cell]
Mg 0.000 0.000 0.500 [1 per cell]
Mg 0.000 0.500 0.263 [4 per cell]
Mg 0.500 0.500 0.500 [1 per cell]
Cr 0.500 0.500 0.000 [1 per cell]
O 0.000 0.000 0.253 [2 per cell]
O 0.000 0.500 0.000 [2 per cell]
O 0.000 0.500 0.500 [2 per cell]
O 0.500 0.500 0.273 [2 per cell]

---

Model two:
A relaxed HfMg6CrO8 crystal. Source: the Alexandria database, functional PBE+U.

Unit cell a=4.360 b=4.360 c=9.087 alpha=90.00 beta=90.00 gamma=90.00
Space group P4/mmm (No. 123)
Unique sites:
Hf 0.000 0.000 0.000 [1 per cell]
Mg 0.000 0.500 0.266 [4 per cell]
Mg 0.500 0.500 0.000 [1 per cell]
Mg 0.500 0.500 0.500 [1 per cell]
Cr 0.000 0.000 0.500 [1 per cell]
O 0.000 0.000 0.229 [2 per cell]
O 0.000 0.500 0.000 [2 per cell]
O 0.000 0.500 0.500 [2 per cell]
O 0.500 0.500 0.255 [2 per cell]

---

Name the least stable of them. model two.